Entry 1:
BaAg2Rh after structural relaxation. Source: Alexandria, functional PBE.

Lattice parameters (Å, degrees): 5.077 5.077 5.077 60.00 60.00 60.00
Fractional positions:
Ba (0.000, 0.000, 0.000)
Ag (0.500, 0.500, 0.500)
Ag (0.750, 0.750, 0.750)
Rh (0.250, 0.250, 0.250)

Results
- calculated total energy (Ry/atom) = -0.258
- calculated density (Mg/m³) = 8.18
- formation energy (eV per atom) = 0.2309
- space-group type = F-43m, No. 216

***

Entry 2:
EuSe2 after structural relaxation. Source: Alexandria, functional PBE.

Lattice parameters (Å, degrees): 4.108 4.108 8.851 90.00 90.00 90.00
Fractional positions:
Eu (0.250, 0.250, 0.212)
Eu (0.750, 0.750, 0.788)
Se (0.250, 0.250, 0.865)
Se (0.250, 0.750, 0.500)
Se (0.750, 0.250, 0.500)
Se (0.750, 0.750, 0.135)

Results
- calculated total energy (Ry/atom) = -0.522
- calculated density (Mg/m³) = 6.89
- E_form (uncorrected) (eV per atom) = -1.36
- space-group type = P4/nmm, No. 129

***

Entry 3:
Ag2AsBr6 after structural relaxation. Source: Alexandria, functional PBE.

Lattice parameters (Å, degrees): 4.122 6.829 10.388 101.99 90.07 107.11
Fractional positions:
Ag (0.223, 0.444, 0.149)
Ag (0.777, 0.556, 0.851)
As (0.000, 0.000, 0.500)
Br (0.061, 0.131, 0.282)
Br (0.365, 0.723, 0.407)
Br (0.370, 0.746, 0.010)
Br (0.630, 0.254, 0.990)
Br (0.635, 0.277, 0.593)
Br (0.939, 0.869, 0.718)

Results
- calculated total energy (Ry/atom) = -0.184
- calculated density (Mg/m³) = 4.69
- E_form (uncorrected) (eV per atom) = -0.24
- space-group type = P-1, No. 2